This record from Alexandria describes an optimized crystal structure of Ta2Zn4O9. The functional is PBEsol.

CIF file:
```
data_Ta2Zn4O9
_chemical_formula_sum 'Ta8 Zn16 O36'
_symmetry_space_group_name_H-M 'P 1'
_symmetry_Int_Tables_number 1
_symmetry_space_group_name_Hall 'P 1'
_cell_length_a 8.937
_cell_length_b 5.158
_cell_length_c 14.329
_cell_angle_alpha 90.00
_cell_angle_beta 90.00
_cell_angle_gamma 90.00
loop_
_atom_site_label
_atom_site_type_symbol
_atom_site_fract_x
_atom_site_fract_y
_atom_site_fract_z
_atom_site_occupancy
Ta1 Ta 0.019 0.001 0.142 1
Ta2 Ta 0.019 0.999 0.642 1
Ta3 Ta 0.481 0.499 0.642 1
Ta4 Ta 0.481 0.501 0.142 1
Ta5 Ta 0.519 0.499 0.858 1
Ta6 Ta 0.519 0.501 0.358 1
Ta7 Ta 0.981 0.001 0.358 1
Ta8 Ta 0.981 0.999 0.858 1
Zn1 Zn 0.163 0.496 0.001 1
Zn2 Zn 0.163 0.504 0.501 1
Zn3 Zn 0.165 0.498 0.801 1
Zn4 Zn 0.165 0.502 0.301 1
Zn5 Zn 0.335 0.002 0.301 1
Zn6 Zn 0.335 0.998 0.801 1
Zn7 Zn 0.337 0.004 0.501 1
Zn8 Zn 0.337 0.996 0.001 1
Zn9 Zn 0.663 0.004 0.999 1
Zn10 Zn 0.663 0.996 0.499 1
Zn11 Zn 0.665 0.002 0.199 1
Zn12 Zn 0.665 0.998 0.699 1
Zn13 Zn 0.835 0.498 0.699 1
Zn14 Zn 0.835 0.502 0.199 1
Zn15 Zn 0.837 0.496 0.499 1
Zn16 Zn 0.837 0.504 0.999 1
O1 O 0.000 0.283 0.750 1
O2 O 0.000 0.717 0.250 1
O3 O 0.007 0.330 0.415 1
O4 O 0.007 0.670 0.915 1
O5 O 0.143 0.144 0.250 1
O6 O 0.143 0.856 0.750 1
O7 O 0.161 0.174 0.904 1
O8 O 0.161 0.826 0.404 1
O9 O 0.168 0.160 0.573 1
O10 O 0.168 0.840 0.073 1
O11 O 0.332 0.340 0.073 1
O12 O 0.332 0.660 0.573 1
O13 O 0.339 0.326 0.404 1
O14 O 0.339 0.674 0.904 1
O15 O 0.357 0.356 0.750 1
O16 O 0.357 0.644 0.250 1
O17 O 0.493 0.170 0.915 1
O18 O 0.493 0.830 0.415 1
O19 O 0.500 0.217 0.250 1
O20 O 0.500 0.783 0.750 1
O21 O 0.507 0.170 0.585 1
O22 O 0.507 0.830 0.085 1
O23 O 0.643 0.356 0.750 1
O24 O 0.643 0.644 0.250 1
O25 O 0.661 0.326 0.096 1
O26 O 0.661 0.674 0.596 1
O27 O 0.668 0.340 0.427 1
O28 O 0.668 0.660 0.927 1
O29 O 0.832 0.160 0.927 1
O30 O 0.832 0.840 0.427 1
O31 O 0.839 0.174 0.596 1
O32 O 0.839 0.826 0.096 1
O33 O 0.857 0.144 0.250 1
O34 O 0.857 0.856 0.750 1
O35 O 0.993 0.330 0.085 1
O36 O 0.993 0.670 0.585 1
```

Values from the calculation:
**Theoretical density**: 7.72 g cm⁻³
**VASP energy**: -438.3 eV for the cell shown
**Distance to the lowest polymorph of the same formula**: 0.119 kcal/mol of atoms
**Symmetry**: Pbcn, No. 60

***

This record from Alexandria describes an optimized crystal structure of TaZn3O. The functional is PBEsol.

CIF file:
```
data_TaZn3O
_chemical_formula_sum 'Ta1 Zn3 O1'
_symmetry_space_group_name_H-M 'P 1'
_symmetry_Int_Tables_number 1
_symmetry_space_group_name_Hall 'P 1'
_cell_length_a 5.014
_cell_length_b 5.014
_cell_length_c 5.014
_cell_angle_alpha 90.00
_cell_angle_beta 90.00
_cell_angle_gamma 90.00
loop_
_atom_site_label
_atom_site_type_symbol
_atom_site_fract_x
_atom_site_fract_y
_atom_site_fract_z
_atom_site_occupancy
Ta1 Ta 0.000 0.000 0.000 1
Zn1 Zn 0.000 0.000 0.500 1
Zn2 Zn 0.000 0.500 0.000 1
Zn3 Zn 0.500 0.000 0.000 1
O1 O 0.500 0.500 0.500 1
```

Values from the calculation:
**Theoretical density**: 5.18 g cm⁻³
**VASP energy**: -14.0 eV for the cell shown
**Symmetry**: Pm-3m, No. 221

***

This record from Alexandria describes an optimized crystal structure of Zr3TaO. The functional is PBEsol.

CIF file:
```
data_Zr3TaO
_chemical_formula_sum 'Zr3 Ta1 O1'
_symmetry_space_group_name_H-M 'P 1'
_symmetry_Int_Tables_number 1
_symmetry_space_group_name_Hall 'P 1'
_cell_length_a 5.023
_cell_length_b 5.023
_cell_length_c 5.023
_cell_angle_alpha 90.00
_cell_angle_beta 90.00
_cell_angle_gamma 90.00
loop_
_atom_site_label
_atom_site_type_symbol
_atom_site_fract_x
_atom_site_fract_y
_atom_site_fract_z
_atom_site_occupancy
Zr1 Zr 0.000 0.000 0.500 1
Zr2 Zr 0.000 0.500 0.000 1
Zr3 Zr 0.500 0.000 0.000 1
Ta1 Ta 0.000 0.000 0.000 1
O1 O 0.500 0.500 0.500 1
```

Values from the calculation:
**Theoretical density**: 6.16 g cm⁻³
**VASP energy**: -38.1 eV for the cell shown
**Symmetry**: Pm-3m, No. 221

***

This record from Alexandria describes an optimized crystal structure of Tb5O9. The functional is PBEsol.

CIF file:
```
data_Tb5O9
_chemical_formula_sum 'Tb5 O9'
_symmetry_space_group_name_H-M 'P 1'
_symmetry_Int_Tables_number 1
_symmetry_space_group_name_Hall 'P 1'
_cell_length_a 6.524
_cell_length_b 6.524
_cell_length_c 6.524
_cell_angle_alpha 100.55
_cell_angle_beta 100.55
_cell_angle_gamma 129.34
loop_
_atom_site_label
_atom_site_type_symbol
_atom_site_fract_x
_atom_site_fract_y
_atom_site_fract_z
_atom_site_occupancy
Tb1 Tb 0.000 0.000 0.000 1
Tb2 Tb 0.184 0.583 0.829 1
Tb3 Tb 0.417 0.246 0.602 1
Tb4 Tb 0.644 0.816 0.398 1
Tb5 Tb 0.754 0.356 0.171 1
O1 O 0.066 0.158 0.716 1
O2 O 0.161 0.480 0.145 1
O3 O 0.334 0.015 0.855 1
O4 O 0.442 0.350 0.284 1
O5 O 0.520 0.666 0.681 1
O6 O 0.650 0.934 0.092 1
O7 O 0.750 0.250 0.500 1
O8 O 0.842 0.558 0.908 1
O9 O 0.985 0.839 0.319 1
```

Values from the calculation:
**Theoretical density**: 8.03 g cm⁻³
**VASP energy**: -115.1 eV for the cell shown
**Symmetry**: I-4, No. 82

***

This record from Alexandria describes an optimized crystal structure of Tb7O12. The functional is PBEsol.

CIF file:
```
data_Tb7O12
_chemical_formula_sum 'Tb7 O12'
_symmetry_space_group_name_H-M 'P 1'
_symmetry_Int_Tables_number 1
_symmetry_space_group_name_Hall 'P 1'
_cell_length_a 6.552
_cell_length_b 6.552
_cell_length_c 6.552
_cell_angle_alpha 99.54
_cell_angle_beta 99.54
_cell_angle_gamma 99.54
loop_
_atom_site_label
_atom_site_type_symbol
_atom_site_fract_x
_atom_site_fract_y
_atom_site_fract_z
_atom_site_occupancy
Tb1 Tb 0.000 0.000 0.000 1
Tb2 Tb 0.138 0.609 0.301 1
Tb3 Tb 0.301 0.138 0.609 1
Tb4 Tb 0.391 0.699 0.862 1
Tb5 Tb 0.609 0.301 0.138 1
Tb6 Tb 0.699 0.862 0.391 1
Tb7 Tb 0.862 0.391 0.699 1
O1 O 0.061 0.935 0.326 1
O2 O 0.065 0.674 0.939 1
O3 O 0.179 0.438 0.580 1
O4 O 0.326 0.061 0.935 1
O5 O 0.420 0.821 0.562 1
O6 O 0.438 0.580 0.179 1
O7 O 0.562 0.420 0.821 1
O8 O 0.580 0.179 0.438 1
O9 O 0.674 0.939 0.065 1
O10 O 0.821 0.562 0.420 1
O11 O 0.935 0.326 0.061 1
O12 O 0.939 0.065 0.674 1
```

Values from the calculation:
**Theoretical density**: 8.08 g cm⁻³
**VASP energy**: -159.0 eV for the cell shown
**Symmetry**: R-3, No. 148

***

This record from Alexandria describes an optimized crystal structure of Tb2Te4O11. The functional is PBEsol.

CIF file:
```
data_Tb2Te4O11
_chemical_formula_sum 'Tb4 Te8 O22'
_symmetry_space_group_name_H-M 'P 1'
_symmetry_Int_Tables_number 1
_symmetry_space_group_name_Hall 'P 1'
_cell_length_a 6.656
_cell_length_b 6.656
_cell_length_c 15.978
_cell_angle_alpha 105.01
_cell_angle_beta 105.01
_cell_angle_gamma 45.06
loop_
_atom_site_label
_atom_site_type_symbol
_atom_site_fract_x
_atom_site_fract_y
_atom_site_fract_z
_atom_site_occupancy
Tb1 Tb 0.128 0.634 0.963 1
Tb2 Tb 0.366 0.872 0.537 1
Tb3 Tb 0.634 0.128 0.463 1
Tb4 Tb 0.872 0.366 0.037 1
Te1 Te 0.092 0.660 0.629 1
Te2 Te 0.097 0.652 0.298 1
Te3 Te 0.340 0.908 0.871 1
Te4 Te 0.348 0.903 0.202 1
Te5 Te 0.652 0.097 0.798 1
Te6 Te 0.660 0.092 0.129 1
Te7 Te 0.903 0.348 0.702 1
Te8 Te 0.908 0.340 0.371 1
O1 O 0.056 0.896 0.403 1
O2 O 0.104 0.944 0.097 1
O3 O 0.164 0.253 0.946 1
O4 O 0.184 0.312 0.630 1
O5 O 0.253 0.164 0.446 1
O6 O 0.285 0.410 0.830 1
O7 O 0.312 0.184 0.130 1
O8 O 0.323 0.541 0.546 1
O9 O 0.364 0.636 0.250 1
O10 O 0.410 0.285 0.330 1
O11 O 0.459 0.677 0.954 1
O12 O 0.541 0.323 0.046 1
O13 O 0.590 0.715 0.670 1
O14 O 0.636 0.364 0.750 1
O15 O 0.677 0.459 0.454 1
O16 O 0.688 0.816 0.870 1
O17 O 0.715 0.590 0.170 1
O18 O 0.747 0.836 0.554 1
O19 O 0.816 0.688 0.370 1
O20 O 0.836 0.747 0.054 1
O21 O 0.896 0.056 0.903 1
O22 O 0.944 0.104 0.597 1
```

Values from the calculation:
**Theoretical density**: 6.93 g cm⁻³
**VASP energy**: -227.7 eV for the cell shown
**Symmetry**: C2/c, No. 15